# 1
Compound: Sm4Co2Ag
Source: Alexandria
Functional: PBE-GGA
Structure: optimized geometry

Computed properties:
As for the formation energy: -0.095 eV per atom.

Unit cell a=4.0362 b=6.8408 c=13.6036 alpha=90.00 beta=90.00 gamma=107.16
Sites, in units of the cell vectors:
Sm: 0.2320 0.4640 0.8923
Co: 0.1285 0.2570 0.4350
Sm: 0.2320 0.4640 0.6077
Co: 0.8715 0.7430 0.5650
Ag: 0.3824 0.7649 0.2500
Ag: 0.6176 0.2351 0.7500
Sm: 0.7680 0.5360 0.1077
Sm: 0.5000 0.0000 0.0000
Sm: 0.9354 0.8709 0.7500
Sm: 0.5000 0.0000 0.5000
Sm: 0.7680 0.5360 0.3923
Co: 0.8715 0.7430 0.9350
Sm: 0.0646 0.1291 0.2500
Co: 0.1285 0.2570 0.0650

***

# 2
Compound: Nd4IrSe2Cl
Source: Alexandria
Functional: PBE-GGA
Structure: optimized geometry

Computed properties:
Its uncorrected formation energy is -1453 meV/atom.

Unit cell a=4.1217 b=7.4441 c=7.3525 alpha=71.35 beta=90.00 gamma=90.00
Sites, in units of the cell vectors:
Se: 0.5000 0.0000 0.5000
Nd: 0.0000 0.7500 0.7360
Nd: 0.0000 0.2500 0.2640
Ir: 0.0000 0.5000 0.5000
Nd: 0.5000 0.2704 0.7254
Cl: 0.5000 0.5000 0.0000
Nd: 0.5000 0.7296 0.2746
Se: 0.0000 0.0000 0.0000

***

# 3
Compound: DyHf2BeN4
Source: Alexandria
Functional: PBE-GGA
Structure: optimized geometry

Computed properties:
Its uncorrected formation energy is -1631 meV/atom.

Unit cell a=3.1892 b=5.5610 c=10.7103 alpha=90.00 beta=90.00 gamma=106.66
Sites, in units of the cell vectors:
Hf: 0.3694 0.7388 0.9480
N: 0.7317 0.4634 0.6230
N: 0.2683 0.5366 0.1230
N: 0.2683 0.5366 0.3770
Dy: 0.8960 0.7920 0.2500
Be: 0.8282 0.6565 0.7500
Dy: 0.1040 0.2080 0.7500
Hf: 0.6306 0.2612 0.4480
N: 0.0000 0.0000 0.0000
Hf: 0.6306 0.2612 0.0520
Be: 0.1718 0.3435 0.2500
N: 0.0000 0.0000 0.5000
N: 0.4243 0.8486 0.7500
N: 0.7317 0.4634 0.8770
Hf: 0.3694 0.7388 0.5520
N: 0.5757 0.1514 0.2500

***

# 4
Compound: TlCdSnI5
Source: Alexandria
Functional: PBE-GGA
Structure: optimized geometry

Computed properties:
Its uncorrected formation energy is -553 meV/atom.

Unit cell a=8.5866 b=8.5866 c=11.5047 alpha=104.40 beta=104.40 gamma=105.22
Sites, in units of the cell vectors:
Cd: 0.6793 0.3207 0.2500
I: 0.6238 0.7353 0.9494
Sn: 0.0000 0.0000 0.5000
I: 0.0914 0.9086 0.2500
Tl: 0.6538 0.3462 0.7500
I: 0.2647 0.3762 0.5506
Cd: 0.3207 0.6793 0.7500
I: 0.0797 0.6589 0.8794
I: 0.6589 0.0797 0.3794
I: 0.9203 0.3411 0.1206
I: 0.7353 0.6238 0.4494
I: 0.9086 0.0914 0.7500
Tl: 0.3462 0.6538 0.2500
I: 0.3762 0.2647 0.0506
I: 0.3411 0.9203 0.6206
Sn: 0.0000 0.0000 0.0000

***

# 5
Compound: NbMo2W2
Source: Alexandria
Functional: PBE-GGA
Structure: optimized geometry

Computed properties:
As for the formation energy: 0.493 eV per atom.

Unit cell a=4.6655 b=4.6655 c=8.9925 alpha=94.82 beta=94.82 gamma=114.72
Sites, in units of the cell vectors:
Mo: 0.3529 0.4218 0.4126
Nb: 0.0572 0.0566 0.0787
Mo: 0.0609 0.8518 0.4531
Mo: 0.1718 0.6029 0.9126
Mo: 0.6018 0.3109 0.9531
W: 0.8182 0.4523 0.2228
W: 0.2023 0.0682 0.7228
W: 0.4801 0.8097 0.1940
W: 0.5597 0.7301 0.6940
Nb: 0.8066 0.3072 0.5787

***

# 6
Compound: LuBeNi
Source: Alexandria
Functional: PBE-GGA
Structure: optimized geometry

Computed properties:
As for the formation energy: -0.320 eV per atom.

Unit cell a=3.6497 b=3.8543 c=3.8543 alpha=120.00 beta=90.00 gamma=90.00
Sites, in units of the cell vectors:
Be: 0.1666 0.6667 0.3333
Lu: 0.6665 0.3333 0.6667
Ni: 0.1668 0.0000 0.0000

***

# 7
Compound: Pa2Zn5Ga3
Source: Alexandria
Functional: PBE-GGA
Structure: optimized geometry

Computed properties:
As for the formation energy: -0.192 eV per atom.

Unit cell a=5.9155 b=8.4102 c=8.4102 alpha=75.69 beta=69.41 gamma=69.41
Last column: magnetic moment on the atom in μB.
Sites, in units of the cell vectors:
Zn: 0.1339 0.9902 0.7420  0.00
Zn: 0.6339 0.7420 0.9902  0.00
Pa: 0.1246 0.6339 0.1168  0.40
Zn: 0.9870 0.2630 0.2630  0.00
Ga: 0.2500 0.0000 0.0000  0.00
Zn: 0.7500 0.5000 0.5000  0.00
Pa: 0.3754 0.8832 0.3661  0.40
Ga: 0.3799 0.4746 0.7657  0.00
Zn: 0.4870 0.2630 0.2630  0.00
Zn: 0.3661 0.2580 0.0098  0.00
Ga: 0.7500 0.0000 0.0000  0.00
Zn: 0.0130 0.7370 0.7370  0.00
Ga: 0.8799 0.7657 0.4746  0.00
Ga: 0.6201 0.5254 0.2343  0.00
Pa: 0.8754 0.3661 0.8832  0.40
Zn: 0.5130 0.7370 0.7370  0.00
Ga: 0.1201 0.2343 0.5254  0.00
Zn: 0.2500 0.5000 0.5000  0.00
Zn: 0.8661 0.0098 0.2580  0.00
Pa: 0.6246 0.1168 0.6339  0.40

***

# 8
Compound: Sm4SbAs2P
Source: Alexandria
Functional: PBE-GGA
Structure: optimized geometry

Computed properties:
Its uncorrected formation energy is -1415 meV/atom.

Unit cell a=4.2490 b=7.3623 c=7.3874 alpha=70.60 beta=90.00 gamma=90.00
Sites, in units of the cell vectors:
As: 0.5000 0.0000 0.5000
Sm: 0.0000 0.2421 0.2631
Sb: 0.5000 0.5000 0.0000
Sm: 0.0000 0.7579 0.7369
As: 0.0000 0.0000 0.0000
P: 0.0000 0.5000 0.5000
Sm: 0.5000 0.2494 0.7402
Sm: 0.5000 0.7506 0.2598

***

For each record above, in turn, the calculated raw total energy values are -73.21 -48.37 -149.17 -38.92 -110.35 -14.99 -72.72 -49.03 eV for the cell shown.